Record 1
Y2PaSi3Ir4 | PBE-GGA | relaxed

Summary:
**Space group**: P-4m2
**Final energy**: -8.35 eV/atom
**Formation energy from raw total energies**: -0.934 eV/atom
**Size of the total moment**: 0.00 μB/f.u.
**DOS at the Fermi energy**: 5.8 states/eV per cell

Cell and atoms, written as POSCAR:
```
Y2PaSi3Ir4
1.0
4.166 0.000 0.000
0.000 4.166 0.000
0.000 0.000 10.793
Si Pa Y Ir
3 1 2 4
Cartesian
0.000 2.083 1.299 Si
2.083 0.000 9.494 Si
0.000 0.000 5.397 Si
2.083 2.083 5.397 Pa
0.000 2.083 8.384 Y
2.083 0.000 2.409 Y
0.000 0.000 0.000 Ir
2.083 0.000 7.100 Ir
0.000 2.083 3.694 Ir
2.083 2.083 0.000 Ir
```

Record 2
Pa2ZnSi2Ir5 | PBE-GGA | relaxed

Summary:
**Space group**: P4/mbm
**Final energy**: -8.13 eV/atom
**Formation energy from raw total energies**: -0.592 eV/atom
**Size of the total moment**: 0.00 μB/f.u.
**DOS at the Fermi energy**: 13.5 states/eV per cell

Cell and atoms, written as POSCAR:
```
Pa2ZnSi2Ir5
1.0
3.654 0.000 0.000
0.000 9.608 0.000
0.000 0.000 9.608
Ir Si Zn Pa
10 4 2 4
Cartesian
1.827 4.804 0.000 Ir
1.827 0.615 7.568 Ir
1.827 8.993 2.040 Ir
1.827 2.764 5.419 Ir
1.827 6.844 4.189 Ir
1.827 2.040 0.615 Ir
1.827 0.000 4.804 Ir
1.827 5.419 6.844 Ir
1.827 7.568 8.993 Ir
1.827 4.189 2.764 Ir
0.000 1.179 5.983 Si
0.000 5.983 8.429 Si
0.000 8.429 3.625 Si
0.000 3.625 1.179 Si
0.000 0.000 0.000 Zn
0.000 4.804 4.804 Zn
0.000 6.509 1.705 Pa
0.000 3.099 7.903 Pa
0.000 1.705 3.099 Pa
0.000 7.903 6.509 Pa
```

Record 3
Pa2Zn2Si4Ir | PBE-GGA | relaxed

Summary:
**Space group**: I4/mmm
**Final energy**: -6.23 eV/atom
**Formation energy from raw total energies**: -0.441 eV/atom
**Size of the total moment**: 0.00 μB/f.u.
**DOS at the Fermi energy**: 9.7 states/eV per cell

Cell and atoms, written as POSCAR:
```
Pa2Zn2Si4Ir
1.0
-2.619 -4.209 3.431
3.336 -1.654 -4.742
4.619 3.198 2.189
Ir Si Zn Pa
1 4 2 2
Cartesian
0.000 0.000 0.000 Ir
0.764 -1.934 1.212 Si
3.697 -0.289 -2.793 Si
4.572 -0.732 -0.334 Si
4.258 1.833 0.239 Si
5.609 1.089 -1.801 Zn
2.346 0.455 -0.753 Zn
2.347 -2.546 -1.294 Pa
2.989 -0.120 2.172 Pa
```

Record 4
Pa2ZnSi4Ir3 | PBE-GGA | relaxed

Summary:
**Space group**: P-4m2
**Final energy**: -7.67 eV/atom
**Formation energy from raw total energies**: -0.820 eV/atom
**Size of the total moment**: 0.00 μB/f.u.
**DOS at the Fermi energy**: 6.6 states/eV per cell

Cell and atoms, written as POSCAR:
```
Pa2ZnSi4Ir3
1.0
-2.981 -1.837 -2.192
1.143 -3.668 1.519
-6.318 1.180 7.604
Zn Ir Si Pa
1 3 4 2
Cartesian
-4.078 -2.163 3.465 Zn
-3.159 0.590 3.802 Ir
-7.008 0.112 5.544 Ir
-0.229 -1.684 1.724 Ir
-5.510 -0.168 3.741 Si
-1.727 -1.405 3.526 Si
0.000 0.000 0.000 Si
-0.919 -2.753 -0.336 Si
-4.183 -0.946 6.482 Pa
-3.054 -0.627 0.785 Pa
```

Record 5
ZrPaSi2Ir5 | PBE-GGA | relaxed

Summary:
**Space group**: P4/mmm
**Final energy**: -8.63 eV/atom
**Formation energy from raw total energies**: -0.495 eV/atom
**Size of the total moment**: 0.39 μB/f.u.
**DOS at the Fermi energy**: 8.2 states/eV per cell

Cell and atoms, written as POSCAR:
```
ZrPaSi2Ir5
1.0
3.962 0.000 0.000
0.000 3.962 0.000
0.000 0.000 11.144
Zr Pa Si Ir
1 1 2 5
Cartesian
0.000 0.000 0.000 Zr
0.000 0.000 5.572 Pa
1.981 1.981 3.205 Si
1.981 1.981 7.939 Si
1.981 1.981 5.572 Ir
1.981 0.000 1.962 Ir
1.981 0.000 9.182 Ir
0.000 1.981 9.182 Ir
0.000 1.981 1.962 Ir
```

Record 6
SmPaIr2 | PBE-GGA | relaxed

Summary:
**Space group**: P4/mmm
**Final energy**: -8.71 eV/atom
**Relative energy among the computed polymorphs**: 137 meV/atom
**Energy relative to the elements**: -70.5 kJ per mole of atoms
**Size of the total moment**: 0.00 μB/f.u.
**DOS at the Fermi energy**: 3.1 states/eV per cell

Cell and atoms, written as POSCAR:
```
SmPaIr2
1.0
3.496 0.000 0.000
0.000 3.496 0.000
0.000 0.000 7.086
Ir Sm Pa
2 1 1
Cartesian
0.000 0.000 1.513 Ir
0.000 0.000 5.573 Ir
1.748 1.748 3.543 Sm
1.748 1.748 0.000 Pa
```

Record 7
SmPaIr2 | PBE-GGA | relaxed

Summary:
**Space group**: Pmmn
**Final energy**: -8.85 eV/atom
**Relative energy among the computed polymorphs**: 0 meV/atom
**Energy relative to the elements**: -83.7 kJ per mole of atoms
**Size of the total moment**: 0.00 μB/f.u.
**DOS at the Fermi energy**: 4.8 states/eV per cell

Cell and atoms, written as POSCAR:
```
SmPaIr2
1.0
4.304 0.000 0.000
0.000 5.748 0.000
0.000 0.000 7.591
Pa Sm Ir
2 2 4
Cartesian
3.228 1.437 0.635 Pa
1.076 4.311 6.956 Pa
3.228 4.311 3.198 Sm
1.076 1.437 4.393 Sm
1.076 2.871 1.745 Ir
3.228 2.877 5.846 Ir
1.076 0.003 1.745 Ir
3.228 5.745 5.846 Ir
```

Record 8
SmPaIr2 | PBE-GGA | relaxed

Summary:
**Space group**: Fm-3m
**Final energy**: -8.60 eV/atom
**Relative energy among the computed polymorphs**: 253 meV/atom
**Energy relative to the elements**: -59.2 kJ per mole of atoms
**Size of the total moment**: 0.00 μB/f.u.
**DOS at the Fermi energy**: 5.0 states/eV per cell

Cell and atoms, written as POSCAR:
```
SmPaIr2
1.0
4.922 0.000 0.000
2.461 4.263 0.000
2.461 1.421 4.019
Sm Ir Pa
1 2 1
Cartesian
4.922 2.842 2.009 Sm
2.461 1.421 1.005 Ir
7.383 4.263 3.014 Ir
0.000 0.000 0.000 Pa
```

Record 9
Sm2PaIr2 | PBE-GGA | relaxed

Summary:
**Space group**: C2/c
**Final energy**: -8.06 eV/atom
**Energy relative to the elements**: -70.5 kJ per mole of atoms
**Size of the total moment**: 0.00 μB/f.u.
**DOS at the Fermi energy**: 9.2 states/eV per cell

Cell and atoms, written as POSCAR:
```
Sm2PaIr2
1.0
6.331 0.297 0.910
3.047 5.557 0.910
0.201 0.126 7.333
Ir Pa Sm
4 2 4
Cartesian
4.998 5.692 4.760 Ir
2.170 3.926 0.726 Ir
4.581 0.288 4.393 Ir
7.409 2.054 8.426 Ir
6.191 0.857 6.409 Pa
3.388 5.123 2.743 Pa
5.888 4.532 7.445 Sm
3.691 1.448 1.708 Sm
3.023 2.743 5.374 Sm
6.556 3.237 3.778 Sm
```

Record 10
SmPaIr2 | PBE-GGA | relaxed

Summary:
**Space group**: R-3m
**Final energy**: -8.77 eV/atom
**Relative energy among the computed polymorphs**: 85 meV/atom
**Energy relative to the elements**: -75.4 kJ per mole of atoms
**Size of the total moment**: 0.00 μB/f.u.
**DOS at the Fermi energy**: 1.9 states/eV per cell

Cell and atoms, written as POSCAR:
```
SmPaIr2
1.0
-3.116 1.746 1.734
-3.495 0.143 -1.878
-3.973 -5.345 2.790
Pa Ir Sm
1 2 1
Cartesian
0.000 0.000 0.000 Pa
-7.976 -2.724 2.047 Ir
-2.607 -0.733 0.599 Ir
-5.292 -1.728 1.323 Sm
```

Record 11
Sm2PaIr | PBE-GGA | relaxed

Summary:
**Space group**: R-3m
**Final energy**: -6.75 eV/atom
**Energy relative to the elements**: 19.5 kJ per mole of atoms
**Size of the total moment**: 0.00 μB/f.u.
**DOS at the Fermi energy**: 4.6 states/eV per cell

Cell and atoms, written as POSCAR:
```
Sm2PaIr
1.0
3.358 0.000 0.000
1.679 2.908 0.000
1.679 0.969 10.791
Ir Pa Sm
1 1 2
Cartesian
3.358 1.939 5.396 Ir
0.000 0.000 0.000 Pa
1.679 0.969 7.505 Sm
5.036 2.908 3.286 Sm
```

Record 12
SmPa3Ir2 | PBE-GGA | relaxed

Summary:
**Space group**: C2/m
**Final energy**: -8.94 eV/atom
**Energy relative to the elements**: -43.2 kJ per mole of atoms
**Size of the total moment**: 0.00 μB/f.u.
**DOS at the Fermi energy**: 18.2 states/eV per cell

Cell and atoms, written as POSCAR:
```
SmPa3Ir2
1.0
4.709 0.000 0.000
-2.355 8.678 0.045
0.000 -3.749 6.686
Ir Pa Sm
4 6 2
Cartesian
0.000 5.371 5.456 Ir
2.355 3.905 1.074 Ir
2.355 -0.442 1.274 Ir
0.000 1.024 5.657 Ir
0.000 3.177 3.836 Pa
0.000 5.471 1.975 Pa
2.355 -0.542 4.756 Pa
2.355 5.452 3.880 Pa
0.000 -0.523 2.850 Pa
2.355 1.753 2.895 Pa
0.000 1.923 0.356 Sm
2.355 3.006 6.374 Sm
```